Record 1
Entry from Alexandria via LeMat-Bulk: LiNi4Se8 after structural relaxation (PBE).

Results
Space group   F-43m (216)

abc: 7.1846 7.1846 7.1846
angles: 60.00 60.00 60.00
With the nearest neighbours (Å) after each atom.
Fractional coordinates of all 13 atoms:
Li: 0.0000 0.0000 0.0000  4 Se 2.45
Ni: 0.1298 0.6234 0.6234  6 Se 2.40-2.42
Ni: 0.6234 0.1298 0.6234  6 Se 2.40-2.42
Ni: 0.6234 0.6234 0.1298  6 Se 2.40-2.42
Ni: 0.6234 0.6234 0.6234  6 Se 2.40-2.42
Se: 0.3882 0.3882 0.3882  3 Ni 2.40
Se: 0.3882 0.3882 0.8353  3 Ni 2.40
Se: 0.3882 0.8353 0.3882  3 Ni 2.40
Se: 0.4170 0.8610 0.8610  3 Ni 2.42, 1 Li 2.45
Se: 0.8353 0.3882 0.3882  3 Ni 2.40
Se: 0.8610 0.4170 0.8610  3 Ni 2.42, 1 Li 2.45
Se: 0.8610 0.8610 0.4170  3 Ni 2.42, 1 Li 2.45
Se: 0.8610 0.8610 0.8610  3 Ni 2.42, 1 Li 2.45

=====

Record 2
Entry from Alexandria via LeMat-Bulk: LiNiSe after structural relaxation (PBE).

Results
Energy above the most stable polymorph in this dataset   0.02 eV/f.u.
Space group   I4/mmm (139)

abc: 6.7110 6.7110 6.7110
angles: 147.17 147.17 47.12
With the nearest neighbours (Å) after each atom.
Fractional coordinates of all 6 atoms:
Li: 0.1559 0.1559 0.0000  5 Se 2.67-2.71, 4 Ni 2.70
Li: 0.8441 0.8441 0.0000  5 Se 2.67-2.71, 4 Ni 2.70
Ni: 0.0000 0.5000 0.5000  4 Se 2.46, 4 Ni 2.68, 4 Li 2.70
Ni: 0.5000 0.0000 0.5000  4 Se 2.46, 4 Ni 2.68, 4 Li 2.70
Se: 0.3729 0.3729 0.0000  4 Ni 2.46, 5 Li 2.67-2.71
Se: 0.6271 0.6271 0.0000  4 Ni 2.46, 5 Li 2.67-2.71

=====

Record 3
Entry from Alexandria via LeMat-Bulk: LiNiSe after structural relaxation (PBE).

Results
Energy above the most stable polymorph in this dataset   0.25 eV/f.u.
Space group   P-6m2 (187)

abc: 3.9198 3.9198 3.7045
angles: 90.00 90.00 120.00
With the nearest neighbours (Å) after each atom.
Fractional coordinates of all 3 atoms:
Li: 0.0000 0.0000 0.0000  6 Se 2.92, 6 Ni 2.92
Ni: 0.6667 0.3333 0.5000  3 Se 2.26
Se: 0.3333 0.6667 0.5000  3 Ni 2.26

=====

| no. | uncorrected formation energy (eV/atom) |
| --- | --- |
| 1 | -0.334 |
| 2 | -0.606 |
| 3 | -0.528 |